The following is a PBE-GGA calculation of PmMg2SiN4 after structural relaxation, from Alexandria via LeMat-Bulk.

Summary:
formation energy from raw total energies	-0.8795	eV/atom
energy	-6.713	eV/atom

Cell: 5.3824 5.1325 5.1325 Å, 84.28 58.37 58.37°
With the nearest neighbours (Å) after each atom.
Positions (direct):
Mg  0.5000  0.2500  0.7500  4 N 2.10
Mg  0.5000  0.7500  0.2500  4 N 2.10
N  0.3945  0.1682  0.4372  1 Si 1.76
N  0.6055  0.5628  0.8318  1 Si 1.76
N  0.0000  0.4372  0.1683  1 Si 1.76
N  0.0000  0.8317  0.5628  1 Si 1.76
Si  0.0000  0.5000  0.5000  4 N 1.76
Pm  0.0000  0.0000  0.0000  4 N 2.48